(1)
A relaxed structure of NaLiTiAlP3O12. Source: Alexandria, functional PBE.

```
data_NaLiTiAlP3O12
_cell_length_a 14.7341
_cell_length_b 8.5362
_cell_length_c 8.8097
_cell_angle_alpha 90.00
_cell_angle_beta 124.45
_cell_angle_gamma 90.00
_space_group_name_H-M_alt 'C 1 2 1'
_space_group_IT_number 5
loop_
_space_group_symop_operation_xyz
'x,y,z'
'-x,y,-z'
'x+1/2,y+1/2,z'
'-x+1/2,y+1/2,-z'
loop_
_atom_site_label
_atom_site_type_symbol
_atom_site_fract_x
_atom_site_fract_y
_atom_site_fract_z
Na1 Na 0.2471 0.0000 0.2536
Li1 Li 0.2100 0.3202 0.0616
Ti1 Ti 0.1096 0.5363 0.3211
Al1 Al 0.1032 0.0336 0.8064
P1 P 0.0000 0.2464 0.0000
P2 P 0.0000 0.3104 0.5000
P3 P 0.1430 0.8892 0.5100
P4 P 0.1458 0.6836 0.0041
O1 O 0.0359 0.9563 0.3498
O2 O 0.0393 0.6076 0.8431
O3 O 0.0729 0.4187 0.4685
O4 O 0.0747 0.1480 0.9659
O5 O 0.0798 0.2155 0.6734
O6 O 0.0829 0.3516 0.1657
O7 O 0.1485 0.7086 0.4924
O8 O 0.1511 0.8611 0.9783
O9 O 0.1566 0.6579 0.1866
O10 O 0.1641 0.9160 0.7009
O11 O 0.2383 0.9633 0.5069
O12 O 0.2424 0.6066 0.0058
```

Calculated total energy = -554.064 eV/cell
E_form (uncorrected) = -2.52 eV per atom
Density of states at the Fermi level = 0.000 states/eV per cell



(2)
A relaxed structure of Na2LiTi3AlP6O24. Source: Alexandria, functional PBE.

```
data_Na2LiTi3AlP6O24
_cell_length_a 8.5683
_cell_length_b 8.5707
_cell_length_c 8.7680
_cell_angle_alpha 61.26
_cell_angle_beta 61.34
_cell_angle_gamma 60.13
_space_group_name_H-M_alt 'P 1'
_space_group_IT_number 1
loop_
_space_group_symop_operation_xyz
'x,y,z'
loop_
_atom_site_label
_atom_site_type_symbol
_atom_site_fract_x
_atom_site_fract_y
_atom_site_fract_z
Na1 Na 0.0000 0.0000 0.0000
Na2 Na 0.4897 0.4710 0.5092
Li1 Li 0.8756 0.6352 0.2069
Ti1 Ti 0.1521 0.1118 0.5693
Ti2 Ti 0.6420 0.6142 0.0662
Ti3 Ti 0.8525 0.8271 0.4442
Al1 Al 0.3557 0.3213 0.9363
P1 P 0.0429 0.7117 0.7655
P2 P 0.2499 0.5007 0.2504
P3 P 0.4636 0.0166 0.7520
P4 P 0.5383 0.9386 0.2467
P5 P 0.7450 0.4334 0.7482
P6 P 0.9762 0.2185 0.2430
O1 O 0.0181 0.1833 0.4125
O2 O 0.0711 0.6829 0.2675
O3 O 0.0721 0.8892 0.7360
O4 O 0.1391 0.2454 0.0664
O5 O 0.2239 0.3357 0.4317
O6 O 0.2239 0.5386 0.7691
O7 O 0.2690 0.4643 0.0878
O8 O 0.2773 0.0333 0.7496
O9 O 0.3803 0.9651 0.4277
O10 O 0.4240 0.5345 0.2264
O11 O 0.4482 0.1956 0.7627
O12 O 0.5006 0.1042 0.0789
O13 O 0.5113 0.8410 0.9187
O14 O 0.5665 0.4110 0.7783
O15 O 0.5658 0.7456 0.2427
O16 O 0.6255 0.9791 0.5747
O17 O 0.7272 0.4744 0.9128
O18 O 0.7333 0.9016 0.2537
O19 O 0.7785 0.6018 0.5707
O20 O 0.7920 0.3980 0.2399
O21 O 0.8786 0.6836 0.9485
O22 O 0.9197 0.2507 0.7343
O23 O 0.9362 0.0463 0.2733
O24 O 0.9847 0.7494 0.6033
```

Calculated total energy = -277.281 eV/cell
E_form (uncorrected) = -2.54 eV per atom
Density of states at the Fermi level = 0.000 states/eV per cell



(3)
A relaxed structure of Na2Li4Ti3AlP6O24. Source: Alexandria, functional PBE.

```
data_Na2Li4Ti3AlP6O24
_cell_length_a 8.4359
_cell_length_b 8.4538
_cell_length_c 9.0256
_cell_angle_alpha 62.17
_cell_angle_beta 89.30
_cell_angle_gamma 60.35
_space_group_name_H-M_alt 'P 1'
_space_group_IT_number 1
loop_
_space_group_symop_operation_xyz
'x,y,z'
loop_
_atom_site_label
_atom_site_type_symbol
_atom_site_fract_x
_atom_site_fract_y
_atom_site_fract_z
Na1 Na 0.0000 0.0000 0.0000
Na2 Na 0.3762 0.1623 0.5959
Li1 Li 0.2620 0.9055 0.4360
Li2 Li 0.5928 0.2906 0.2091
Li3 Li 0.6899 0.6634 0.7304
Li4 Li 0.9770 0.5384 0.4094
Ti1 Ti 0.1937 0.3983 0.1296
Ti2 Ti 0.4887 0.8018 0.0105
Ti3 Ti 0.6881 0.3954 0.6159
Al1 Al 0.9932 0.7917 0.5285
P1 P 0.0971 0.3215 0.8069
P2 P 0.2916 0.6025 0.3276
P3 P 0.3812 0.6044 0.8116
P4 P 0.5950 0.8925 0.3257
P5 P 0.8173 0.8738 0.8203
P6 P 0.8797 0.2950 0.3238
O1 O 0.0812 0.2302 0.3001
O2 O 0.1057 0.4880 0.6356
O3 O 0.1442 0.3272 0.9665
O4 O 0.1517 0.7754 0.3678
O5 O 0.1922 0.7600 0.6628
O6 O 0.1979 0.4874 0.3155
O7 O 0.2381 0.0968 0.8383
O8 O 0.3179 0.7253 0.1492
O9 O 0.3652 0.4806 0.9947
O10 O 0.4555 0.7391 0.8143
O11 O 0.4634 0.1228 0.2919
O12 O 0.4837 0.4225 0.4695
O13 O 0.5335 0.4386 0.7722
O14 O 0.5552 0.8807 0.1677
O15 O 0.5562 0.7438 0.4851
O16 O 0.6225 0.9174 0.8469
O17 O 0.7150 0.4730 0.1526
O18 O 0.8052 0.8237 0.3713
O19 O 0.8240 0.0726 0.7581
O20 O 0.8439 0.8031 0.6851
O21 O 0.8551 0.3776 0.4516
O22 O 0.8640 0.0984 0.3945
O23 O 0.8918 0.3699 0.7809
O24 O 0.9723 0.6961 0.9976
```

Calculated total energy = -287.052 eV/cell
E_form (uncorrected) = -2.45 eV per atom
Density of states at the Fermi level = 13.124 states/eV per cell



(4)
A relaxed structure of Na2Li3Ti3AlP6O24. Source: Alexandria, functional PBE.

```
data_Na2Li3Ti3AlP6O24
_cell_length_a 8.4815
_cell_length_b 8.4815
_cell_length_c 22.4018
_cell_angle_alpha 90.00
_cell_angle_beta 90.00
_cell_angle_gamma 120.00
_space_group_name_H-M_alt 'R 3'
_space_group_IT_number 146
_space_group_name_Hall 'R 3'
loop_
_atom_site_label
_atom_site_type_symbol
_atom_site_fract_x
_atom_site_fract_y
_atom_site_fract_z
Na1 Na 0.0000 0.0000 0.0000
Na2 Na 0.0000 0.0000 0.4885
Li1 Li 0.0313 0.6945 0.6094
Ti1 Ti 0.0000 0.0000 0.1380
Ti2 Ti 0.0000 0.0000 0.3460
Ti3 Ti 0.0000 0.0000 0.8454
Al1 Al 0.0000 0.0000 0.6455
P1 P 0.0014 0.7139 0.7420
P2 P 0.0020 0.2955 0.2436
O1 O 0.0081 0.8225 0.0802
O2 O 0.0122 0.2094 0.1847
O3 O 0.0546 0.8417 0.6867
O4 O 0.0675 0.8557 0.3998
O5 O 0.1443 0.6726 0.4672
O6 O 0.1714 0.4587 0.5743
O7 O 0.1886 0.4386 0.9593
O8 O 0.1980 0.4547 0.2579
```

Calculated total energy = -851.093 eV/cell
E_form (uncorrected) = -2.47 eV per atom
Density of states at the Fermi level = 42.740 states/eV per cell